Compound: AgBr5
Source: Alexandria via LeMat-Bulk
Functional: PBE
Structure: relaxed

density = 5.02 g/cm3
ΔE_f (raw) = 0.559 eV/atom

Cell lengths 6.1904, 6.1904, 6.1904 Å; angles 60.00, 60.00, 60.00 degrees
Last column: nearest neighbours and their distance in Å.
Fractional coordinates of all 6 atoms:
Br 0.6252 0.6252 0.1245  6 Br 3.09-3.10
Br 0.6252 0.6252 0.6252  6 Br 3.09-3.10
Br 0.1245 0.6252 0.6252  6 Br 3.09-3.10
Br 0.2500 0.2500 0.2500  12 Br 3.63, 4 Ag 3.79
Br 0.6252 0.1245 0.6252  6 Br 3.09-3.10
Ag 0.0000 0.0000 0.0000  16 Br 3.63-3.79

Compound: AgBr4
Source: Alexandria via LeMat-Bulk
Functional: PBE
Structure: relaxed

density = 4.83 g/cm3
ΔE_f (raw) = 0.236 eV/atom

Cell lengths 5.7590, 5.7590, 5.7590 Å; angles 109.47, 109.47, 109.47 degrees
Last column: nearest neighbours and their distance in Å.
Fractional coordinates of all 5 atoms:
Ag 0.0000 0.0000 0.0000  8 Br 2.88
Br 0.5000 0.0000 0.0000  2 Ag 2.88
Br 0.5000 0.5000 0.5000  2 Ag 2.88
Br 0.0000 0.5000 0.0000  2 Ag 2.88
Br 0.0000 0.0000 0.5000  2 Ag 2.88

Compound: Ag5Br4
Source: Alexandria via LeMat-Bulk
Functional: PBE
Structure: relaxed

density = 5.91 g/cm3
ΔE_f (raw) = -0.094 eV/atom

Cell lengths 7.9215, 7.9215, 7.9215 Å; angles 93.88, 93.88, 149.84 degrees
Last column: nearest neighbours and their distance in Å.
Fractional coordinates of all 9 atoms:
Ag 0.3658 0.3658 0.7315  4 Ag 2.90-2.91, 4 Br 2.96
Ag 0.3658 0.6342 0.0000  4 Ag 2.90-2.91, 4 Br 2.96
Ag 0.6342 0.6342 0.2685  4 Ag 2.90-2.91, 4 Br 2.96
Ag 0.6342 0.3658 0.0000  4 Ag 2.90-2.91, 4 Br 2.96
Ag 0.0000 0.0000 0.0000  8 Ag 2.91, 4 Br 3.01
Br 0.7221 0.0000 0.7221  5 Ag 2.96-3.01
Br 0.0000 0.2779 0.2779  5 Ag 2.96-3.01
Br 0.2779 0.0000 0.2779  5 Ag 2.96-3.01
Br 0.0000 0.7221 0.7221  5 Ag 2.96-3.01

Compound: Ag4Br5
Source: Alexandria via LeMat-Bulk
Functional: PBE
Structure: relaxed

density = 6.49 g/cm3
ΔE_f (raw) = 0.246 eV/atom

Cell lengths 7.8278, 7.8278, 7.8278 Å; angles 93.15, 93.15, 152.87 degrees
Last column: nearest neighbours and their distance in Å.
Fractional coordinates of all 9 atoms:
Br 0.3333 0.6667 0.0000  4 Br 3.13, 4 Ag 3.24
Br 0.0000 0.0000 0.0000  8 Br 3.13
Br 0.6667 0.6667 0.3334  4 Br 3.13, 4 Ag 3.24
Br 0.6667 0.3333 0.0000  4 Br 3.13, 4 Ag 3.24
Br 0.3333 0.3333 0.6666  4 Br 3.13, 4 Ag 3.24
Ag 0.0000 0.3509 0.3509  5 Ag 2.92-3.21, 4 Br 3.24
Ag 0.6491 0.0000 0.6491  5 Ag 2.92-3.21, 4 Br 3.24
Ag 0.0000 0.6491 0.6491  5 Ag 2.92-3.21, 4 Br 3.24
Ag 0.3509 0.0000 0.3509  5 Ag 2.92-3.21, 4 Br 3.24

Compound: AgBr5
Source: Alexandria via LeMat-Bulk
Functional: PBE
Structure: relaxed

density = 5.15 g/cm3
ΔE_f (raw) = 0.377 eV/atom

Cell lengths 3.4830, 3.4830, 13.4747 Å; angles 90.00, 90.00, 90.00 degrees
Last column: nearest neighbours and their distance in Å.
Fractional coordinates of all 6 atoms:
Br 0.0000 0.0000 0.1295  4 Ag 3.02
Br 0.5000 0.5000 0.6432  8 Br 3.13-3.48
Br 0.0000 0.0000 0.5000  12 Br 3.13-3.48
Br 0.0000 0.0000 0.8705  4 Ag 3.02
Br 0.5000 0.5000 0.3568  8 Br 3.13-3.48
Ag 0.5000 0.5000 0.0000  8 Br 3.02

Compound: Ag5Br
Source: Alexandria via LeMat-Bulk
Functional: PBE
Structure: relaxed

density = 8.18 g/cm3
ΔE_f (raw) = 0.207 eV/atom

Cell lengths 5.6220, 5.6220, 5.6220 Å; angles 60.00, 60.00, 60.00 degrees
Last column: nearest neighbours and their distance in Å.
Fractional coordinates of all 6 atoms:
Ag 0.2500 0.2500 0.2500  12 Ag 3.30, 4 Br 3.44
Ag 0.6246 0.1262 0.6246  6 Ag 2.80-2.82
Ag 0.6246 0.6246 0.1262  6 Ag 2.80-2.82
Ag 0.1262 0.6246 0.6246  6 Ag 2.80-2.82
Ag 0.6246 0.6246 0.6246  6 Ag 2.80-2.82
Br 0.0000 0.0000 0.0000  16 Ag 3.30-3.44